Record 1
Below is ErGeTe after structural relaxation, with properties calculated at the PBE level.

Cell and atoms, written as POSCAR:
```
ErGeTe
1.0
0.0000 3.5158 3.5158
3.5158 0.0000 3.5158
3.5158 3.5158 0.0000
Er Ge Te
1 1 1
direct
0.0000 0.0000 0.0000
0.5000 0.5000 0.5000
0.2500 0.2500 0.2500
```

Properties
* uncorrected energy: -12.92 eV per formula unit
* ρ: 7.02 g cm⁻³
* total magnetization: 0.010 μB per cell

Record 2
Below is ErTlGeTe3 after structural relaxation, with properties calculated at the PBE level.

Cell and atoms, written as POSCAR:
```
ErTlGeTe3
1.0
2.2965 -7.5919 0.0000
2.2965 7.5919 0.0000
0.0000 0.0000 11.6651
Er Tl Ge Te
2 2 2 6
direct
0.0000 0.0000 0.0000
0.0000 0.0000 0.5000
0.2495 0.7505 0.7500
0.7505 0.2495 0.2500
0.4653 0.5347 0.2500
0.5347 0.4653 0.7500
0.0782 0.9218 0.2500
0.3638 0.6362 0.0453
0.3638 0.6362 0.4547
0.6362 0.3638 0.5453
0.6362 0.3638 0.9547
0.9218 0.0782 0.7500
```

Properties
* uncorrected energy: -24.57 eV per formula unit
* ρ: 6.75 g cm⁻³
* total magnetization: 0.004 μB per cell

Record 3
Below is ErTlGeTe3 after structural relaxation, with properties calculated at the PBE level.

Cell and atoms, written as POSCAR:
```
ErTlGeTe3
1.0
8.9457 0.0000 0.0000
0.0000 4.2493 0.0000
-3.4723 0.0000 10.9792
Er Tl Ge Te
2 2 2 6
direct
0.1370 0.2500 0.1604
0.8630 0.7500 0.8396
0.2635 0.7500 0.7179
0.7365 0.2500 0.2821
0.3770 0.7500 0.4466
0.6230 0.2500 0.5534
0.1204 0.2500 0.8917
0.1607 0.2500 0.4331
0.3965 0.7500 0.2156
0.6035 0.2500 0.7844
0.8393 0.7500 0.5669
0.8796 0.7500 0.1083
```

Properties
* uncorrected energy: -25.18 eV per formula unit
* ρ: 6.58 g cm⁻³
* total magnetization: 0.011 μB per cell

Record 4
Below is ErTlGe after structural relaxation, with properties calculated at the PBE level.

Cell and atoms, written as POSCAR:
```
ErTlGe
1.0
0.0000 3.4888 3.4888
3.4888 0.0000 3.4888
3.4888 3.4888 0.0000
Er Tl Ge
1 1 1
direct
0.0000 0.0000 0.0000
0.2500 0.2500 0.2500
0.5000 0.5000 0.5000
```

Properties
* uncorrected energy: -11.25 eV per formula unit
* ρ: 8.69 g cm⁻³
* total magnetization: 0.005 μB per cell

Record 5
Below is ErTmGe after structural relaxation, with properties calculated at the PBE level.

Cell and atoms, written as POSCAR:
```
ErTmGe
1.0
0.0000 3.4043 3.4043
3.4043 0.0000 3.4043
3.4043 3.4043 0.0000
Er Tm Ge
1 1 1
direct
0.0000 0.0000 0.0000
0.5000 0.5000 0.5000
0.2500 0.2500 0.2500
```

Properties
* uncorrected energy: -15.19 eV per formula unit
* ρ: 8.60 g cm⁻³
* total magnetization: 0.008 μB per cell

Record 6
Below is YErGe2 after structural relaxation, with properties calculated at the PBE level.

Cell and atoms, written as POSCAR:
```
YErGe2
1.0
2.1106 -9.8504 0.0000
2.1106 9.8504 0.0000
0.0000 0.0000 4.4911
Y Er Ge
2 2 4
direct
0.0919 0.9081 0.7500
0.9081 0.0919 0.2500
0.2556 0.7444 0.2500
0.7444 0.2556 0.7500
0.3491 0.6509 0.7500
0.4734 0.5266 0.7500
0.5266 0.4734 0.2500
0.6509 0.3491 0.2500
```

Properties
* uncorrected energy: -22.41 eV per formula unit
* ρ: 7.14 g cm⁻³
* total magnetization: 0.025 μB per cell

Q: Number 6 is which compound?
A: YErGe2

Q: What is the total magnetization in the fourth record?
A: 0.005 μB per cell